Entry 1:
A relaxed CsSiAg2S4 crystal. Source: the Alexandria database, functional PBE.

## Properties
ρ = 4.2 g/cm3
Crystal system = tetragonal
E_form (uncorrected) = -4.148 eV per formula unit
Electronic total energy = -65.3 eV for the cell shown

a b c (Å): 6.7645 6.7645 8.6583
angles (deg): 90.00 90.00 90.00
Space group I-42m (No. 121)
Symmetry-distinct sites (fractional):
Cs 0.0000 0.0000 0.0000
Si 0.0000 0.0000 0.5000
Ag 0.0000 0.5000 0.2500
S 0.1819 0.1819 0.3560

=====

Entry 2:
A relaxed SmDyC4 crystal. Source: the Alexandria database, functional PBE.

## Properties
E_form = -0.165 eV per atom
ρ = 6.9 g/cm3
Crystal system = monoclinic
Electronic total energy = -94.4 eV for the cell shown

a b c (Å): 7.1398 3.7216 7.4670
angles (deg): 90.00 118.37 90.00
Space group C2/m (No. 12)
Symmetry-distinct sites (fractional):
Sm 0.0000 0.0000 0.0000
Dy 0.0000 0.0000 0.5000
C 0.0979 0.5000 0.7959
C 0.1087 0.5000 0.3111

=====

Entry 3:
A relaxed ZrOs3Pd crystal. Source: the Alexandria database, functional PBE.

## Properties
E_form = 2.065 eV per atom
ρ = 12.4 g/cm3
Crystal system = cubic
Excess energy over the best structure of this formula in the dataset = 0.0 meV per atom
Electronic total energy = -37.1 eV for the cell shown

a b c (Å): 4.6827 4.6827 4.6827
angles (deg): 90.00 90.00 90.00
Space group Pm-3m (No. 221)
Symmetry-distinct sites (fractional):
Zr 0.0000 0.0000 0.0000
Os 0.0000 0.5000 0.5000
Pd 0.5000 0.5000 0.5000

=====

Entry 4:
A relaxed LiTmZnIn crystal. Source: the Alexandria database, functional PBE.

## Properties
E_form = -0.301 eV per atom
ρ = 7.0 g/cm3
Crystal system = trigonal
Excess energy over the best structure of this formula in the dataset = 0.0 meV per atom
Electronic total energy = -34.8 eV for the cell shown

a b c (Å): 4.9133 4.9133 12.0321
angles (deg): 90.00 90.00 120.00
Space group R3m (No. 160, hexagonal axes)
Symmetry-distinct sites (fractional):
Li 0.0000 0.0000 0.0000
Tm 0.0000 0.0000 0.5000
Zn 0.0000 0.0000 0.7495
In 0.0000 0.0000 0.2502

=====

Entry 5:
A relaxed PmSnSe3 crystal. Source: the Alexandria database, functional PBE.

## Properties
ρ = 5.5 g/cm3
Crystal system = trigonal
E_form (uncorrected) = -5.129 eV per formula unit
Excess energy over the best structure of this formula in the dataset = 41.9 meV per atom
Electronic total energy = -146.0 eV for the cell shown

a b c (Å): 7.3378 7.3378 19.4915
angles (deg): 90.00 90.00 120.00
Space group R-3 (No. 148, hexagonal axes)
Symmetry-distinct sites (fractional):
Pm 0.0000 0.0000 0.1474
Sn 0.0000 0.0000 0.3482
Se 0.0050 0.7035 0.2520

=====

Entry 6:
A relaxed AgClF crystal. Source: the Alexandria database, functional PBE.

## Properties
ρ = 4.4 g/cm3
Crystal system = monoclinic
E_form (uncorrected) = -2.188 eV per formula unit
Excess energy over the best structure of this formula in the dataset = 27.2 meV per atom
Electronic total energy = -35.0 eV for the cell shown

a b c (Å): 6.3688 5.1677 7.9229
angles (deg): 90.00 109.72 90.00
Space group P2_1/c (No. 14)
Symmetry-distinct sites (fractional):
Ag 0.2332 0.0417 0.2455
Cl 0.3958 0.7201 0.1032
F 0.0747 0.1678 0.8545

=====

Entry 7:
A relaxed HoIn2GaPd4 crystal. Source: the Alexandria database, functional PBE.

## Properties
E_form = -0.660 eV per atom
ρ = 10.2 g/cm3
Crystal system = trigonal
Electronic total energy = -117.4 eV for the cell shown

a b c (Å): 4.7115 4.7115 22.5373
angles (deg): 90.00 90.00 120.00
Space group R-3m (No. 166, hexagonal axes)
Symmetry-distinct sites (fractional):
Ho 0.0000 0.0000 0.0000
In 0.0000 0.0000 0.2536
Ga 0.0000 0.0000 0.5000
Pd 0.0000 0.0000 0.1301
Pd 0.0000 0.0000 0.3874

=====

Entry 8:
A relaxed Dy2Ga2SiRh5 crystal. Source: the Alexandria database, functional PBE.

## Properties
ρ = 10.2 g/cm3
Crystal system = tetragonal
E_form (uncorrected) = -8.100 eV per formula unit
Electronic total energy = -131.1 eV for the cell shown

a b c (Å): 9.7742 9.7742 3.4486
angles (deg): 90.00 90.00 90.00
Space group P4/mbm (No. 127)
Symmetry-distinct sites (fractional):
Dy 0.1718 0.3282 0.0000
Ga 0.1274 0.6274 0.0000
Si 0.0000 0.0000 0.0000
Rh 0.0000 0.5000 0.5000
Rh 0.0645 0.8037 0.5000